Arrangement A

Tl2SiTe: relaxed, PBE-GGA.

Total moment: 0.00 μB per cell

Lattice parameters (Å, degrees): 3.2486 5.2499 6.5452 90.00 90.00 90.00
Fractional positions:
Te: 0.5000 0.5000 0.7500
Tl: 0.0000 0.0000 0.0105
Tl: 0.0000 0.0000 0.4895
Si: 0.5000 0.5000 0.2500

---

Arrangement B

Tl2SiTe: relaxed, PBE-GGA.

Total moment: 0.00 μB per cell

Lattice parameters (Å, degrees): 6.4390 6.4390 6.4390 139.28 139.28 58.95
Fractional positions:
Tl: 0.5000 0.5000 0.0000
Tl: 0.0000 0.0000 0.0000
Si: 0.2500 0.7500 0.5000
Te: 0.7500 0.2500 0.5000

---

Arrangement C

Tl2SiTe: relaxed, PBE-GGA.

Total moment: 0.00 μB per cell

Lattice parameters (Å, degrees): 3.7948 4.7163 7.2697 68.68 90.00 90.00
Fractional positions:
Te: 0.5000 0.5906 0.7354
Tl: 0.0000 0.9558 0.9904
Tl: 0.5000 0.2660 0.3200
Si: 0.0000 0.6877 0.4542

---

Arrangement D

Tl2SiTe: relaxed, PBE-GGA.

Total moment: 0.00 μB per cell

Lattice parameters (Å, degrees): 12.5122 12.5122 12.5122 14.89 14.89 14.89
Fractional positions:
Tl: 0.5103 0.5103 0.5103
Tl: 0.9897 0.9897 0.9897
Te: 0.7500 0.7500 0.7500
Si: 0.2500 0.2500 0.2500

---

Most stable pick: arrangement C. Distance to second place: 0.135 eV/atom.

---

Arrangement A

TlSi2Te: relaxed, PBE-GGA.

Total moment: 0.00 μB per cell

Lattice parameters (Å, degrees): 6.7025 6.7025 6.7025 147.93 137.43 54.28
Fractional positions:
Tl: 0.1996 0.6996 0.5000
Te: 0.4713 0.4713 0.0000
Si: 0.9814 0.9814 0.0000
Si: 0.8477 0.3477 0.5000

---

Arrangement B

TlSi2Te: relaxed, PBE-GGA.

Total moment: 0.00 μB per cell

Lattice parameters (Å, degrees): 3.8873 3.8848 6.9331 90.00 90.00 90.00
Fractional positions:
Tl: 0.5000 0.5000 0.7500
Si: 0.0000 0.0000 0.0777
Si: 0.0000 0.0000 0.4223
Te: 0.5000 0.5000 0.2500

---

Arrangement C

TlSi2Te: relaxed, PBE-GGA.

Total moment: 0.00 μB per cell

Lattice parameters (Å, degrees): 3.4762 3.4762 8.6183 90.00 90.00 113.60
Fractional positions:
Tl: 0.5000 0.5000 0.7500
Si: 0.0000 0.0000 0.0104
Si: 0.0000 0.0000 0.4896
Te: 0.5000 0.5000 0.2500

---

Most stable pick: arrangement A. Distance to second place: 0.080 eV/atom.

---

Arrangement A

TlSi2Te: relaxed, PBE-GGA.

Total moment: 0.00 μB per cell

Lattice parameters (Å, degrees): 5.0759 5.0759 5.0759 60.00 60.00 60.00
Fractional positions:
Te: 0.5000 0.5000 0.5000
Si: 0.0000 0.0000 0.0000
Si: 0.2500 0.2500 0.2500
Tl: 0.7500 0.7500 0.7500

---

Arrangement B

TlSi2Te: relaxed, PBE-GGA.

Total moment: 0.00 μB per cell

Lattice parameters (Å, degrees): 6.1472 6.1472 7.8712 67.02 67.02 90.00
Fractional positions:
Si: 0.3750 0.3684 0.7500
Si: 0.8750 0.8816 0.7500
Si: 0.1184 0.6250 0.2500
Si: 0.6316 0.1250 0.2500
Tl: 0.0000 0.0000 0.0000
Tl: 0.7500 0.2500 0.5000
Te: 0.5000 0.5000 0.0000
Te: 0.2500 0.7500 0.5000

---

Arrangement C

TlSi2Te: relaxed, PBE-GGA.

Total moment: 0.00 μB per cell

Lattice parameters (Å, degrees): 5.0503 5.0503 5.0503 60.00 60.00 60.00
Fractional positions:
Si: 0.7500 0.7500 0.7500
Si: 0.2500 0.2500 0.2500
Tl: 0.5000 0.5000 0.5000
Te: 0.0000 0.0000 0.0000

---

Most stable pick: arrangement B. Distance to second place: 0.068 eV/atom.

---

Arrangement A

Tl3SiTe: relaxed, PBE-GGA.

Total moment: 2.70 μB per cell

Lattice parameters (Å, degrees): 6.2929 6.2929 6.2929 90.00 90.00 90.00
Fractional positions:
Tl: 0.5000 0.0000 0.0000
Tl: 0.0000 0.0000 0.5000
Tl: 0.0000 0.5000 0.0000
Te: 0.0000 0.0000 0.0000
Si: 0.5000 0.5000 0.5000

---

Arrangement B

Tl3SiTe: relaxed, PBE-GGA.

Total moment: 0.00 μB per cell

Lattice parameters (Å, degrees): 5.4255 5.4255 5.4255 90.00 90.00 90.00
Fractional positions:
Te: 0.5000 0.5000 0.5000
Tl: 0.0000 0.5000 0.0000
Tl: 0.5000 0.0000 0.0000
Tl: 0.0000 0.0000 0.5000
Si: 0.0000 0.0000 0.0000

---

Most stable pick: arrangement B. Distance to second place: 0.631 eV/atom.

---

Arrangement A

Tl2Si2Te: relaxed, PBE-GGA.

Total moment: 0.00 μB per cell

Lattice parameters (Å, degrees): 7.2891 7.2891 5.0338 90.00 90.00 90.00
Fractional positions:
Tl: 0.1842 0.6842 0.5000
Tl: 0.3158 0.1842 0.5000
Tl: 0.8158 0.3158 0.5000
Tl: 0.6842 0.8158 0.5000
Si: 0.6141 0.1141 0.0000
Si: 0.1141 0.3859 0.0000
Si: 0.8859 0.6141 0.0000
Si: 0.3859 0.8859 0.0000
Te: 0.5000 0.5000 0.0000
Te: 0.0000 0.0000 0.0000

---

Arrangement B

Tl2Si2Te: relaxed, PBE-GGA.

Total moment: 0.00 μB per cell

Lattice parameters (Å, degrees): 3.4352 3.4352 11.6571 81.53 81.53 90.00
Fractional positions:
Si: 0.2500 0.7500 0.5000
Si: 0.7500 0.2500 0.5000
Te: 0.0000 0.0000 0.0000
Tl: 0.6228 0.6228 0.7543
Tl: 0.3772 0.3772 0.2457

---

Most stable pick: arrangement B. Distance to second place: 0.116 eV/atom.

---

Arrangement A

TlSiTe4: relaxed, PBE-GGA.

Total moment: 0.00 μB per cell

Lattice parameters (Å, degrees): 6.8812 6.5640 10.8088 120.07 110.21 80.69
Fractional positions:
Te: 0.2108 0.6009 0.7906
Te: 0.6751 0.4119 0.5732
Te: 0.1029 0.0525 0.3523
Te: 0.4796 0.2254 0.7862
Te: 0.7892 0.3991 0.2094
Te: 0.8971 0.9475 0.6477
Te: 0.3249 0.5881 0.4268
Te: 0.5204 0.7746 0.2138
Si: 0.5000 0.0000 0.5000
Si: 0.0000 0.5000 0.5000
Tl: 0.7329 0.7565 0.9433
Tl: 0.2671 0.2435 0.0567

---

Arrangement B

TlSiTe4: relaxed, PBE-GGA.

Total moment: 0.00 μB per cell

Lattice parameters (Å, degrees): 9.3114 7.4174 9.1369 112.42 119.34 92.75
Fractional positions:
Te: 0.2383 0.1887 0.8284
Te: 0.7617 0.8113 0.1716
Te: 0.7739 0.7843 0.7087
Te: 0.9099 0.3603 0.1716
Te: 0.5652 0.0756 0.2913
Te: 0.2261 0.2157 0.2913
Te: 0.0901 0.6397 0.8284
Te: 0.4348 0.9244 0.7087
Tl: 0.6277 0.3777 0.7554
Tl: 0.3723 0.6223 0.2446
Si: 0.7389 0.9889 0.9778
Si: 0.2611 0.0111 0.0222

---

Arrangement C

TlSiTe4: relaxed, PBE-GGA.

Total moment: 0.66 μB per cell

Lattice parameters (Å, degrees): 6.3984 6.3984 6.3984 60.00 60.00 60.00
Fractional positions:
Te: 0.8771 0.3743 0.3743
Te: 0.3743 0.8771 0.3743
Te: 0.3743 0.3743 0.3743
Te: 0.3743 0.3743 0.8771
Tl: 0.7500 0.7500 0.7500
Si: 0.0000 0.0000 0.0000

---

Most stable pick: arrangement B. Distance to second place: 0.019 eV/atom.

---

Arrangement A

Tm3SiTe2: relaxed, PBE-GGA.

Total moment: 0.00 μB per cell

Lattice parameters (Å, degrees): 7.3149 7.3149 7.4040 99.44 99.44 120.00
Fractional positions:
Te: 0.8333 0.1667 0.5000
Te: 0.4921 0.5079 0.5000
Te: 0.1746 0.8254 0.5000
Te: 0.3333 0.6667 0.0000
Tm: 0.4088 0.0984 0.2245
Tm: 0.6177 0.9510 0.7822
Tm: 0.9016 0.5912 0.7755
Tm: 0.0490 0.3823 0.2178
Tm: 0.2579 0.2350 0.7755
Tm: 0.7650 0.7421 0.2245
Si: 0.6651 0.3349 0.0000
Si: 0.0015 0.9985 0.0000

---

Arrangement B

Tm3SiTe2: relaxed, PBE-GGA.

Total moment: 0.00 μB per cell

Lattice parameters (Å, degrees): 7.2874 7.3417 7.3417 119.15 99.81 99.81
Fractional positions:
Te: 0.7500 0.0802 0.9198
Te: 0.7500 0.7607 0.2393
Te: 0.2500 0.2393 0.7607
Te: 0.2500 0.9198 0.0802
Tm: 0.9927 0.7830 0.6391
Tm: 0.4927 0.6391 0.7830
Tm: 0.0073 0.2170 0.3609
Tm: 0.5000 0.0000 0.5000
Tm: 0.0000 0.5000 0.0000
Tm: 0.5073 0.3609 0.2170
Si: 0.2500 0.5914 0.4086
Si: 0.7500 0.4086 0.5914

---

Most stable pick: arrangement A. Distance to second place: 0.017 eV/atom.

---

Arrangement A

V2SiTe: relaxed, PBE-GGA.

Total moment: 7.97 μB per cell

Lattice parameters (Å, degrees): 5.4284 5.4284 7.6946 69.34 69.34 90.00
Fractional positions:
V: 0.3750 0.4194 0.7500
V: 0.5806 0.1250 0.2500
V: 0.8750 0.8306 0.7500
V: 0.1694 0.6250 0.2500
Te: 0.7500 0.2500 0.5000
Te: 0.0000 0.0000 0.0000
Si: 0.2500 0.7500 0.5000
Si: 0.5000 0.5000 0.0000

---

Arrangement B

V2SiTe: relaxed, PBE-GGA.

Total moment: 0.00 μB per cell

Lattice parameters (Å, degrees): 4.4541 4.4541 4.4541 60.00 60.00 60.00
Fractional positions:
V: 0.2500 0.2500 0.2500
V: 0.7500 0.7500 0.7500
Si: 0.0000 0.0000 0.0000
Te: 0.5000 0.5000 0.5000

---

Most stable pick: arrangement B. Distance to second place: 0.424 eV/atom.

---

Arrangement A

V2Si2Te: relaxed, PBE-GGA.

Total moment: 1.37 μB per cell

Lattice parameters (Å, degrees): 3.4651 3.4651 7.0617 75.80 75.80 90.00
Fractional positions:
Te: 0.0000 0.0000 0.0000
Si: 0.2500 0.7500 0.5000
Si: 0.7500 0.2500 0.5000
V: 0.6099 0.6099 0.7802
V: 0.3901 0.3901 0.2198

---

Arrangement B

V2Si2Te: relaxed, PBE-GGA.

Total moment: 0.00 μB per cell

Lattice parameters (Å, degrees): 7.0596 7.0596 3.1978 90.00 90.00 90.00
Fractional positions:
Te: 0.0000 0.0000 0.0000
Te: 0.5000 0.5000 0.0000
Si: 0.3749 0.1251 0.5000
Si: 0.1251 0.6251 0.5000
Si: 0.6251 0.8749 0.5000
Si: 0.8749 0.3749 0.5000
V: 0.1587 0.3413 0.0000
V: 0.6587 0.1587 0.0000
V: 0.3413 0.8413 0.0000
V: 0.8413 0.6587 0.0000

---

Most stable pick: arrangement A. Distance to second place: 0.190 eV/atom.

---

Arrangement A

V3SiTe: relaxed, PBE-GGA.

Total moment: 7.38 μB per cell

Lattice parameters (Å, degrees): 4.6243 4.6243 4.6243 90.00 90.00 90.00
Fractional positions:
V: 0.0000 0.0000 0.5000
V: 0.0000 0.5000 0.0000
V: 0.5000 0.0000 0.0000
Te: 0.5000 0.5000 0.5000
Si: 0.0000 0.0000 0.0000

---

Arrangement B

V3SiTe: relaxed, PBE-GGA.

Total moment: 8.62 μB per cell

Lattice parameters (Å, degrees): 4.9848 4.9848 4.9848 90.00 90.00 90.00
Fractional positions:
V: 0.5000 0.0000 0.0000
V: 0.0000 0.5000 0.0000
V: 0.0000 0.0000 0.5000
Si: 0.5000 0.5000 0.5000
Te: 0.0000 0.0000 0.0000

---

Most stable pick: arrangement A. Distance to second place: 0.804 eV/atom.

---

Arrangement A

SiTeW3: relaxed, PBE-GGA.

Total moment: 0.00 μB per cell

Lattice parameters (Å, degrees): 4.8804 4.8804 4.8804 90.00 90.00 90.00
Fractional positions:
Si: 0.5000 0.5000 0.5000
W: 0.0000 0.5000 0.0000
W: 0.5000 0.0000 0.0000
W: 0.0000 0.0000 0.5000
Te: 0.0000 0.0000 0.0000

---

Arrangement B

SiTeW3: relaxed, PBE-GGA.

Total moment: 0.00 μB per cell

Lattice parameters (Å, degrees): 4.5916 4.5916 4.5916 90.00 90.00 90.00
Fractional positions:
W: 0.0000 0.5000 0.0000
W: 0.5000 0.0000 0.0000
W: 0.0000 0.0000 0.5000
Si: 0.0000 0.0000 0.0000
Te: 0.5000 0.5000 0.5000

---

Most stable pick: arrangement B. Distance to second place: 1.284 eV/atom.